[1]
First-principles (PBE-GGA) data for an optimized crystal structure of SrAlCd2, as listed in the Alexandria database.

The structure in CIF format:
```
data_SrAlCd2
_symmetry_space_group_name_H-M 'P 4 m m'
_symmetry_Int_Tables_number 99
_symmetry_space_group_name_Hall 'P 4 -2'
_cell_length_a 3.686
_cell_length_b 3.686
_cell_length_c 7.724
_cell_angle_alpha 90.00
_cell_angle_beta 90.00
_cell_angle_gamma 90.00
loop_
_atom_site_label
_atom_site_type_symbol
_atom_site_fract_x
_atom_site_fract_y
_atom_site_fract_z
Sr1 Sr 0.000 0.000 0.000
Al1 Al 0.500 0.500 0.294
Cd1 Cd 0.000 0.000 0.474
Cd2 Cd 0.500 0.500 0.698
```

## Properties
Calculated formation energy (meV per atom): -89

***

[2]
First-principles (PBE-GGA) data for an optimized crystal structure of MgTcAuI2, as listed in the Alexandria database.

The structure in CIF format:
```
data_MgTcAuI2
_symmetry_space_group_name_H-M 'P 4/m m m'
_symmetry_Int_Tables_number 123
_symmetry_space_group_name_Hall '-P 4 2'
_cell_length_a 5.729
_cell_length_b 5.729
_cell_length_c 5.318
_cell_angle_alpha 90.00
_cell_angle_beta 90.00
_cell_angle_gamma 90.00
loop_
_atom_site_label
_atom_site_type_symbol
_atom_site_fract_x
_atom_site_fract_y
_atom_site_fract_z
Mg1 Mg 0.000 0.000 0.000
Tc1 Tc 0.500 0.500 0.000
Au1 Au 0.500 0.500 0.500
I1 I 0.000 0.500 0.500
```

## Properties
Energy relative to the elements, uncorrected (kJ/mol of formula units): 458

***

no.,calculated density (g cm⁻³)
1,5.37
2,5.45